Entry 1
VASP calculation (PBE) on an optimized crystal structure of Sm4Dy2Tm.

Calculated values
N(E_F), states/eV/f.u.: 11.0
Crystal system: monoclinic
Size of the total moment, μB per formula unit: 0.00

Cell: 6.195 6.605 11.544 Å, 90.00 104.54 90.00°
Fractional coordinates of all 14 atoms:
Dy 0.391 0.250 0.006
Dy 0.712 0.750 0.578
Dy 0.288 0.250 0.422
Dy 0.609 0.750 0.994
Sm 0.150 0.750 0.450
Sm 0.650 0.510 0.286
Sm 0.850 0.250 0.550
Sm 0.350 0.490 0.714
Sm 0.042 0.750 0.865
Sm 0.650 0.990 0.286
Sm 0.958 0.250 0.135
Sm 0.350 0.010 0.714
Tm 0.150 0.750 0.164
Tm 0.850 0.250 0.836

***

Entry 2
VASP calculation (PBE) on an optimized crystal structure of Sm4Dy2Tm.

Calculated values
N(E_F), states/eV/f.u.: 10.0
Crystal system: orthorhombic
Size of the total moment, μB per formula unit: 0.00

Cell: 12.450 12.450 6.759 Å, 97.05 97.05 150.07°
Fractional coordinates of all 14 atoms:
Tm 0.424 0.674 0.500
Tm 0.674 0.424 0.000
Dy 0.921 0.100 0.050
Dy 0.621 0.301 0.450
Dy 0.100 0.921 0.550
Dy 0.301 0.621 0.950
Sm 0.185 0.796 0.894
Sm 0.563 0.600 0.140
Sm 0.173 0.710 0.361
Sm 0.600 0.563 0.640
Sm 0.042 0.153 0.607
Sm 0.796 0.185 0.394
Sm 0.710 0.173 0.861
Sm 0.153 0.042 0.107

***

Energies relative to the most stable structure, in kJ/mol of atoms: entry 1 7.2; entry 2 0.0.

***

Entry 1
VASP calculation (PBE) on an optimized crystal structure of Sm2Dy5Tm2.

Calculated values
N(E_F), states/eV/f.u.: 13.7
Crystal system: orthorhombic
Size of the total moment, μB per formula unit: 0.00

Cell: 11.745 6.691 10.032 Å, 109.48 125.83 90.00°
Fractional coordinates of all 18 atoms:
Sm 0.259 0.356 0.500
Sm 0.500 0.518 0.000
Sm 0.741 0.856 0.500
Sm 0.000 0.018 0.000
Dy 0.800 0.757 0.104
Dy 0.005 0.650 0.500
Dy 0.408 0.536 0.286
Dy 0.622 0.750 0.714
Dy 0.803 0.257 0.104
Dy 0.197 0.154 0.896
Dy 0.995 0.150 0.500
Dy 0.592 0.250 0.714
Dy 0.200 0.654 0.896
Dy 0.378 0.036 0.286
Tm 0.372 0.931 0.746
Tm 0.628 0.184 0.254
Tm 0.874 0.431 0.746
Tm 0.126 0.684 0.254

***

Entry 2
VASP calculation (PBE) on an optimized crystal structure of Sm2Dy5Tm2.

Calculated values
N(E_F), states/eV/f.u.: 11.5
Crystal system: triclinic
Size of the total moment, μB per formula unit: 0.00

Cell: 6.156 6.138 9.380 Å, 109.07 70.86 120.09°
Fractional coordinates of all 9 atoms:
Sm 0.556 0.112 0.331
Sm 0.444 0.888 0.669
Tm 0.333 0.666 0.000
Tm 0.667 0.334 0.000
Dy 0.223 0.445 0.332
Dy 0.000 0.000 0.000
Dy 0.110 0.222 0.669
Dy 0.890 0.778 0.331
Dy 0.777 0.555 0.668

***

Energies relative to the most stable structure, in kJ/mol of atoms: entry 1 20.1; entry 2 0.0.

***

Entry 1
VASP calculation (PBE) on an optimized crystal structure of Sm6Dy8Tm.

Calculated values
N(E_F), states/eV/f.u.: 22.3
Crystal system: trigonal
Size of the total moment, μB per formula unit: 0.00

Cell: 6.481 9.372 9.372 Å, 120.00 90.00 90.00°
Fractional coordinates of all 15 atoms:
Sm 0.168 0.250 0.966
Sm 0.168 0.716 0.750
Sm 0.168 0.034 0.284
Sm 0.832 0.284 0.250
Sm 0.832 0.966 0.716
Sm 0.832 0.750 0.034
Dy 0.338 0.907 0.561
Dy 0.125 0.333 0.667
Dy 0.662 0.561 0.653
Dy 0.875 0.667 0.333
Dy 0.338 0.439 0.347
Dy 0.662 0.093 0.439
Dy 0.662 0.347 0.907
Dy 0.338 0.653 0.093
Tm 0.500 0.000 0.000

***

Entry 2
VASP calculation (PBE) on an optimized crystal structure of Sm6Dy8Tm.

Calculated values
N(E_F), states/eV/f.u.: 21.8
Crystal system: trigonal
Size of the total moment, μB per formula unit: 0.00

Cell: 9.079 9.079 8.667 Å, 58.41 58.41 60.00°
Fractional coordinates of all 15 atoms:
Dy 0.423 0.423 0.731
Dy 0.280 0.889 0.579
Dy 0.720 0.111 0.421
Dy 0.577 0.577 0.269
Dy 0.111 0.747 0.421
Dy 0.253 0.280 0.579
Dy 0.747 0.720 0.421
Dy 0.889 0.253 0.579
Sm 0.461 0.895 0.873
Sm 0.105 0.229 0.127
Sm 0.539 0.105 0.127
Sm 0.229 0.539 0.127
Sm 0.771 0.461 0.873
Sm 0.895 0.771 0.873
Tm 0.000 0.000 0.000

***

Energies relative to the most stable structure, in kJ/mol of atoms: entry 1 5.7; entry 2 0.0.